Entry 1:
Density functional theory data (PBE) for crystalline Ce2Al5Pt at its relaxed geometry.

Summary:
Uncorrected energy: -5.050 eV/atom

Cell lengths 6.2736, 6.2736, 6.2736 Å; angles 88.82, 120.68, 120.68 degrees
Closest atoms and distances in Å follow each position.
Positions (direct):
Al (0.0000, 0.7092, 0.2755)  1 Pt 2.49, 3 Al 2.69-2.78
Ce (0.5000, 0.2471, 0.7471)  10 Al 3.11-3.18
Al (0.0000, 0.2667, 0.2667)  1 Pt 2.46
Al (0.5663, 0.2755, 0.2755)  1 Pt 2.49, 3 Al 2.69-2.78
Ce (0.5000, 0.7471, 0.2471)  10 Al 3.11-3.18
Al (0.0000, 0.2755, 0.7092)  1 Pt 2.49, 3 Al 2.69-2.78
Pt (0.0000, 0.9918, 0.9918)  5 Al 2.46-2.49
Al (0.4337, 0.7092, 0.7092)  1 Pt 2.49, 3 Al 2.69-2.78



Entry 2:
Density functional theory data (PBE) for crystalline SmNpC at its relaxed geometry.

Summary:
Offset from the most stable computed form: 0 meV per atom

Cell lengths 6.3653, 3.4472, 3.4472 Å; angles 120.00, 90.00, 90.00 degrees
Closest atoms and distances in Å follow each position.
Positions (direct):
Sm (0.7647, 0.6667, 0.3333)  3 C 2.55
Np (0.2207, 0.3333, 0.6667)  3 C 2.38
C (0.0146, 0.0000, 0.0000)  3 Np 2.38, 3 Sm 2.55



Entry 3:
Density functional theory data (PBE) for crystalline SrSbH3 at its relaxed geometry.

Summary:
Offset from the most stable computed form: 213 meV per atom

Cell lengths 4.3738, 4.3738, 4.3738 Å; angles 90.00, 90.00, 90.00 degrees
Closest atoms and distances in Å follow each position.
Positions (direct):
H (0.5000, 0.0000, 0.0000)  2 Sr 2.19
H (0.0000, 0.0000, 0.5000)  2 Sr 2.19
Sb (0.5000, 0.5000, 0.5000)  12 H 3.09
Sr (0.0000, 0.0000, 0.0000)  6 H 2.19
H (0.0000, 0.5000, 0.0000)  2 Sr 2.19



Entry 4:
Density functional theory data (PBE) for crystalline CsNaPbCl6 at its relaxed geometry.

Summary:
Formation energy (no corrections): -1.24 eV/atom

Cell lengths 7.1661, 7.1662, 7.5693 Å; angles 90.03, 89.97, 59.93 degrees
Closest atoms and distances in Å follow each position.
Positions (direct):
Cl (0.3595, 0.0282, 0.6981)  1 Pb 2.58, 1 Na 2.84
Na (0.6664, 0.6664, 0.5000)  6 Cl 2.84
Cl (0.6131, 0.0271, 0.3024)  1 Pb 2.58, 1 Na 2.84
Cl (0.0271, 0.6132, 0.6975)  1 Pb 2.58, 1 Na 2.84
Cl (0.6119, 0.3603, 0.6982)  1 Pb 2.58, 1 Na 2.84
Cl (0.0282, 0.3596, 0.3019)  1 Pb 2.58, 1 Na 2.84
Cs (0.0000, 0.0000, 0.0000)  6 Cl 3.52-3.53
Pb (0.3333, 0.3334, 0.5000)  6 Cl 2.58
Cl (0.3602, 0.6119, 0.3018)  1 Pb 2.58, 1 Na 2.84



Entry 5:
Density functional theory data (PBE) for crystalline MnH2W at its relaxed geometry.

Summary:
Offset from the most stable computed form: 536 meV per atom

Cell lengths 3.6512, 3.6512, 3.6512 Å; angles 60.00, 60.00, 60.00 degrees
Closest atoms and distances in Å follow each position.
Positions (direct):
H (0.7500, 0.7500, 0.7500)  4 Mn 2.24, 4 W 2.24
W (0.5000, 0.5000, 0.5000)  8 H 2.24
H (0.2500, 0.2500, 0.2500)  4 W 2.24, 4 Mn 2.24
Mn (0.0000, 0.0000, 0.0000)  8 H 2.24



Entry 6:
Density functional theory data (PBE) for crystalline La4Sm5Al at its relaxed geometry.

Summary:
Uncorrected energy: -4.643 eV/atom

Cell lengths 5.8830, 8.2484, 8.2484 Å; angles 82.69, 69.11, 69.11 degrees
Closest atoms and distances in Å follow each position.
Positions (direct):
La (0.4566, 0.6933, 0.3067)  7 Sm 3.47-3.84, 1 Al 3.74
La (0.7632, 0.6933, 0.6933)  7 Sm 3.47-3.84, 1 Al 3.74
La (0.1499, 0.3067, 0.3067)  7 Sm 3.47-3.84, 1 Al 3.74
Sm (0.7830, 0.0000, 0.3643)  1 Al 3.06, 1 Sm 3.35
Al (0.1704, 0.0000, 0.0000)  6 Sm 2.84-3.06
Sm (0.7830, 0.3643, 0.0000)  1 Al 3.06, 1 Sm 3.35
La (0.4566, 0.3067, 0.6933)  7 Sm 3.47-3.84, 1 Al 3.74
Sm (0.1473, 0.6357, 0.0000)  1 Al 3.06, 1 Sm 3.35
Sm (0.6530, 0.0000, 0.0000)  2 Al 2.84-3.04
Sm (0.1473, 0.0000, 0.6357)  1 Al 3.06, 1 Sm 3.35



Entry 7:
Density functional theory data (PBE) for crystalline SbTe2AsIr at its relaxed geometry.

Summary:
Offset from the most stable computed form: 718 meV per atom
Formation energy (no corrections): 1.37 eV/atom

Cell lengths 5.2933, 5.2933, 5.1266 Å; angles 90.00, 90.00, 90.00 degrees
Closest atoms and distances in Å follow each position.
Positions (direct):
Te (0.5000, 0.0000, 0.0000)  2 As 2.65
As (0.0000, 0.0000, 0.0000)  2 Sb 2.56, 4 Te 2.65
Sb (0.0000, 0.0000, 0.5000)  2 As 2.56
Te (0.0000, 0.5000, 0.0000)  2 As 2.65
Ir (0.5000, 0.5000, 0.5000)  8 Te 3.68, 4 Sb 3.74



Entry 8:
Density functional theory data (PBE) for crystalline CuIrOs at its relaxed geometry.

Summary:
Offset from the most stable computed form: 517 meV per atom

Cell lengths 4.1057, 4.1057, 4.1057 Å; angles 60.00, 60.00, 60.00 degrees
Closest atoms and distances in Å follow each position.
Positions (direct):
Ir (0.7500, 0.7500, 0.7500)  4 Os 2.51, 4 Cu 2.51
Cu (0.5000, 0.5000, 0.5000)  4 Ir 2.51
Os (0.0000, 0.0000, 0.0000)  4 Ir 2.51



Entry 9:
Density functional theory data (PBE) for crystalline Tb2Cu5Ge3 at its relaxed geometry.

Summary:
Uncorrected energy: -4.588 eV/atom

Cell lengths 4.1215, 4.1215, 10.3046 Å; angles 90.00, 90.00, 90.00 degrees
Closest atoms and distances in Å follow each position.
Positions (direct):
Cu (0.5000, 0.5000, 0.5000)  4 Ge 2.58
Cu (0.0000, 0.5000, 0.1240)  1 Ge 2.32, 4 Cu 2.42
Ge (0.5000, 0.0000, 0.6510)  3 Cu 2.32-2.58, 2 Ge 2.58
Cu (0.5000, 0.5000, 0.0000)  4 Cu 2.42
Tb (0.5000, 0.0000, 0.2281)  8 Cu 3.11-3.13, 4 Ge 3.17
Cu (0.0000, 0.0000, 0.0000)  4 Cu 2.42
Ge (0.0000, 0.0000, 0.5000)  4 Ge 2.58
Ge (0.0000, 0.5000, 0.3490)  3 Cu 2.32-2.58, 2 Ge 2.58
Cu (0.5000, 0.0000, 0.8760)  1 Ge 2.32, 4 Cu 2.42
Tb (0.0000, 0.5000, 0.7719)  8 Cu 3.11-3.13, 4 Ge 3.17



Entry 10:
Density functional theory data (PBE) for crystalline Ho5Sc6 at its relaxed geometry.

Summary:
Offset from the most stable computed form: 0 meV per atom

Cell lengths 5.2654, 8.9286, 8.9286 Å; angles 117.50, 107.15, 107.15 degrees
Closest atoms and distances in Å follow each position.
Positions (direct):
Sc (0.2026, 0.0677, 0.3377)  4 Ho 3.06-3.39, 3 Sc 3.09-3.34
Sc (0.7974, 0.9323, 0.6623)  4 Ho 3.06-3.39, 3 Sc 3.09-3.34
Ho (0.0000, 0.3383, 0.6617)  8 Sc 3.35-3.50, 4 Ho 3.38-3.61
Ho (0.5000, 0.8004, 0.1996)  8 Sc 3.21-3.42, 2 Ho 3.38
Ho (0.5000, 0.1996, 0.8004)  8 Sc 3.21-3.42, 2 Ho 3.38
Sc (0.2026, 0.3377, 0.0677)  4 Ho 3.06-3.39, 3 Sc 3.09-3.34
Sc (0.7024, 0.2027, 0.2027)  5 Sc 3.09-3.34, 4 Ho 3.35-3.42
Ho (0.5000, 0.5000, 0.5000)  4 Sc 3.06
Sc (0.2976, 0.7973, 0.7973)  5 Sc 3.09-3.34, 4 Ho 3.35-3.42
Sc (0.7974, 0.6623, 0.9323)  4 Ho 3.06-3.39, 3 Sc 3.09-3.34
Ho (0.0000, 0.6617, 0.3383)  8 Sc 3.35-3.50, 4 Ho 3.38-3.61



Entry 11:
Density functional theory data (PBE) for crystalline Er2PuCo at its relaxed geometry.

Summary:
Offset from the most stable computed form: 269 meV per atom

Cell lengths 3.5142, 3.5142, 10.2704 Å; angles 80.15, 80.15, 60.00 degrees
Closest atoms and distances in Å follow each position.
Positions (direct):
Co (0.5000, 0.5000, 0.5000)  6 Er 2.61
Pu (0.0000, 0.0000, 0.0000)  2 Er 3.39, 6 Pu 3.51
Er (0.8878, 0.8878, 0.3365)  3 Co 2.61
Er (0.1122, 0.1122, 0.6635)  3 Co 2.61



Entry 12:
Density functional theory data (PBE) for crystalline TbMgSb2 at its relaxed geometry.

Summary:
Offset from the most stable computed form: 0 meV per atom
Formation energy (no corrections): -0.66 eV/atom

Cell lengths 4.3899, 4.3899, 10.8269 Å; angles 90.00, 90.00, 90.00 degrees
Closest atoms and distances in Å follow each position.
Positions (direct):
Sb (0.0000, 0.0000, 0.5000)  4 Sb 3.10, 4 Tb 3.21
Sb (0.5000, 0.5000, 0.5000)  4 Sb 3.10, 4 Tb 3.21
Tb (0.0000, 0.5000, 0.2832)  8 Sb 3.21-3.29
Sb (0.5000, 0.0000, 0.1820)  4 Mg 2.95, 4 Tb 3.29
Mg (0.5000, 0.5000, 0.0000)  4 Sb 2.95, 4 Mg 3.10
Mg (0.0000, 0.0000, 0.0000)  4 Sb 2.95, 4 Mg 3.10
Sb (0.0000, 0.5000, 0.8180)  4 Mg 2.95, 4 Tb 3.29
Tb (0.5000, 0.0000, 0.7168)  8 Sb 3.21-3.29



no.,total magnetic moment (μB/atom),density (g/cm3)
1,0.135,5.865
2,1.361,10.124
3,0.114,4.215
4,0.000,2.842
5,0.555,11.617
6,0.000,6.343
7,0.092,7.446
8,0.000,15.134
9,0.000,8.097
10,0.000,5.932
11,1.622,9.830
12,0.000,6.792